1.
DFT (PBE-GGA) results for a geometry-optimized K2BaAu structure.

Values from the calculation:
**Calculated volume**: 41.13 Å³/atom
**Total moment**: 0.00 μB per atom
**Space-group type**: I-4m2
**ΔE to the lowest computed polymorph**: 290.0 meV/atom
**ΔE_f**: -16 kJ/mol of formula units

Geometry as CIF:
```
data_K2BaAu
_chemical_formula_sum 'K2 Ba1 Au1'
_space_group_name_H-M_alt 'P 1'
_space_group_IT_number 1
_cell_length_a 6.145
_cell_length_b 6.145
_cell_length_c 6.145
_cell_angle_alpha 119.82
_cell_angle_beta 119.82
_cell_angle_gamma 90.31
loop_
_space_group_symop_operation_xyz
'x,y,z'
loop_
_atom_site_label
_atom_site_fract_x
_atom_site_fract_y
_atom_site_fract_z
K1 0.250 0.750 0.500
K2 0.000 0.000 0.000
Au1 0.500 0.500 0.000
Ba1 0.750 0.250 0.500
```

---

2.
DFT (PBE-GGA) results for a geometry-optimized KBa2Au structure.

Values from the calculation:
**Calculated volume**: 48.15 Å³/atom
**Total moment**: 0.00 μB per atom
**Space-group type**: P2/m
**ΔE to the lowest computed polymorph**: 31.1 meV/atom
**ΔE_f**: -132 kJ/mol of formula units

Geometry as CIF:
```
data_KBa2Au
_chemical_formula_sum 'K1 Ba2 Au1'
_space_group_name_H-M_alt 'P 1'
_space_group_IT_number 1
_cell_length_a 4.128
_cell_length_b 4.132
_cell_length_c 12.022
_cell_angle_alpha 69.91
_cell_angle_beta 90.00
_cell_angle_gamma 90.00
loop_
_space_group_symop_operation_xyz
'x,y,z'
loop_
_atom_site_label
_atom_site_fract_x
_atom_site_fract_y
_atom_site_fract_z
K1 0.500 0.250 0.250
Ba1 0.000 0.084 0.917
Ba2 0.000 0.416 0.583
Au1 0.500 0.750 0.750
```